i | # Pm4SmRu2 PBE relaxed
# Volume ... 27.8 A^3/atom
data_Pm4SmRu2
_symmetry_space_group_name_H-M 'P 1'
_symmetry_Int_Tables_number 1
_symmetry_space_group_name_Hall 'P 1'
_cell_length_a 6.6703
_cell_length_b 7.3185
_cell_length_c 9.1282
_cell_angle_alpha 70.36
_cell_angle_beta 69.14
_cell_angle_gamma 89.84
loop_
_atom_site_label
_atom_site_fract_x
_atom_site_fract_y
_atom_site_fract_z
Pm1 0.0000 0.0000 0.0000
Pm2 0.0041 0.4972 0.0040
Pm3 0.0843 0.9138 0.6211
Pm4 0.2992 0.4168 0.6228
Pm5 0.4696 0.2813 0.2739
Pm6 0.5615 0.1902 0.8954
Pm7 0.7014 0.8484 0.4443
Pm8 0.8558 0.3471 0.4491
Sm1 0.2591 0.7762 0.2744
Sm2 0.5514 0.6956 0.8900
Ru1 0.1130 0.1406 0.2203
Ru2 0.4456 0.0515 0.6745
Ru3 0.6745 0.6497 0.2099
Ru4 0.8814 0.5452 0.6818

=====

ii | # Pm4SmRu2 PBE relaxed
# Volume ... 27.6 A^3/atom
data_Pm4SmRu2
_symmetry_space_group_name_H-M 'P 1 21/m 1'
_symmetry_Int_Tables_number 11
_symmetry_space_group_name_Hall '-P 2yb'
_cell_length_a 7.9667
_cell_length_b 6.5884
_cell_length_c 7.9766
_cell_angle_alpha 90.00
_cell_angle_beta 112.64
_cell_angle_gamma 90.00
loop_
_atom_site_label
_atom_site_fract_x
_atom_site_fract_y
_atom_site_fract_z
Pm1 0.1244 0.2500 0.4789
Pm2 0.1794 0.7500 0.2586
Pm3 0.2573 0.5024 0.9129
Sm1 0.4715 0.2500 0.3368
Ru1 0.0920 0.2500 0.1283
Ru2 0.4834 0.2500 0.7572

=====

Stability summary: most stable i, least stable ii.

=====

i | # Pm3SmRu PBE relaxed
# Volume ... 31.6 A^3/atom
data_Pm3SmRu
_symmetry_space_group_name_H-M 'C 1 2/m 1'
_symmetry_Int_Tables_number 12
_symmetry_space_group_name_Hall '-C 2y'
_cell_length_a 12.0593
_cell_length_b 8.6879
_cell_length_c 8.4017
_cell_angle_alpha 90.00
_cell_angle_beta 134.09
_cell_angle_gamma 90.00
loop_
_atom_site_label
_atom_site_fract_x
_atom_site_fract_y
_atom_site_fract_z
Pm1 0.0505 0.0000 0.3445
Pm2 0.2493 0.3010 0.7936
Sm1 0.0504 0.5000 0.2548
Ru1 0.2503 0.0000 0.8730

=====

ii | # Pm3SmRu PBE relaxed
# Volume ... 33.5 A^3/atom
data_Pm3SmRu
_symmetry_space_group_name_H-M 'P m -3 m'
_symmetry_Int_Tables_number 221
_symmetry_space_group_name_Hall '-P 4 2 3'
_cell_length_a 5.5125
_cell_length_b 5.5125
_cell_length_c 5.5125
_cell_angle_alpha 90.00
_cell_angle_beta 90.00
_cell_angle_gamma 90.00
loop_
_atom_site_label
_atom_site_fract_x
_atom_site_fract_y
_atom_site_fract_z
Pm1 0.0000 0.0000 0.5000
Sm1 0.5000 0.5000 0.5000
Ru1 0.0000 0.0000 0.0000

=====

iii | # Pm3SmRu PBE relaxed
# Volume ... 32.6 A^3/atom
data_Pm3SmRu
_symmetry_space_group_name_H-M 'P m n 21'
_symmetry_Int_Tables_number 31
_symmetry_space_group_name_Hall 'P 2ac -2'
_cell_length_a 7.7836
_cell_length_b 6.5573
_cell_length_c 6.3814
_cell_angle_alpha 90.00
_cell_angle_beta 90.00
_cell_angle_gamma 90.00
loop_
_atom_site_label
_atom_site_fract_x
_atom_site_fract_y
_atom_site_fract_z
Pm1 0.0000 0.1580 0.0000
Pm2 0.2499 0.3204 0.5047
Sm1 0.0000 0.8409 0.5092
Ru1 0.0000 0.5007 0.2551

=====

Stability summary: most stable i, least stable ii.